Record 1
# VZnIr

VZnIr after structural relaxation (GGA-PBE, the Alexandria database).

Unit cell a=4.163 b=4.263 c=6.479 alpha=107.12 beta=90.00 gamma=119.23
Positions (direct):
V  0.793  0.585  0.855
V  0.207  0.415  0.145
Ir  0.906  0.812  0.244
Ir  0.094  0.188  0.756
Zn  0.624  0.249  0.397
Zn  0.376  0.751  0.603

Computed properties:
formation energy	-0.51	eV per formula unit
mass density	10.8	g/cm³

Record 2
# VZn3Ir

VZn3Ir after structural relaxation (GGA-PBE, the Alexandria database).

Unit cell a=4.731 b=4.731 c=4.731 alpha=90.00 beta=90.00 gamma=90.00
Site moments in Bohr magnetons follow the coordinates.
Positions (direct):
Zn  0.000  0.000  0.500  -0.02
Zn  0.000  0.500  0.000  -0.02
Zn  0.500  0.000  0.000  -0.02
Ir  0.000  0.000  0.000  0.06
V  0.500  0.500  0.500  2.99

Computed properties:
formation energy	3.12	eV per formula unit
energy above the most stable polymorph in this dataset	0.00	eV/f.u.
mass density	6.9	g/cm³

Record 3
# VZnIr3

VZnIr3 after structural relaxation (GGA-PBE, the Alexandria database).

Unit cell a=4.478 b=4.478 c=4.478 alpha=90.00 beta=90.00 gamma=90.00
Site moments in Bohr magnetons follow the coordinates.
Positions (direct):
Ir  0.000  0.500  0.000  -0.67
Ir  0.500  0.000  0.000  -0.67
Ir  0.000  0.000  0.500  -0.67
Zn  0.000  0.000  0.000  -0.03
V  0.500  0.500  0.500  2.09

Computed properties:
formation energy	6.93	eV per formula unit
energy above the most stable polymorph in this dataset	1.41	eV/f.u.
mass density	12.8	g/cm³

Record 4
# V2Zn2Ir3

V2Zn2Ir3 after structural relaxation (GGA-PBE, the Alexandria database).

Unit cell a=3.722 b=2.757 c=9.876 alpha=90.00 beta=79.14 gamma=90.00
Site moments in Bohr magnetons follow the coordinates.
Positions (direct):
Ir  0.000  0.000  0.000  -0.01
Ir  0.140  0.000  0.720  -0.01
Ir  0.860  0.000  0.280  -0.01
Zn  0.291  0.500  0.418  0.00
Zn  0.709  0.500  0.582  0.00
V  0.429  0.500  0.143  0.32
V  0.571  0.500  0.857  0.32

Computed properties:
formation energy	-2.11	eV per formula unit
mass density	13.5	g/cm³

Record 5
# VZnIr

VZnIr after structural relaxation (GGA-PBE, the Alexandria database).

Unit cell a=2.774 b=2.786 c=11.468 alpha=96.98 beta=90.00 gamma=90.00
Site moments in Bohr magnetons follow the coordinates.
Positions (direct):
Ir  0.060  0.148  0.297  -0.04
Ir  0.060  0.990  0.981  -0.01
V  0.560  0.724  0.447  0.74
V  0.560  0.566  0.133  -0.17
Zn  0.059  0.824  0.648  0.00
Zn  0.560  0.409  0.819  0.00

Computed properties:
formation energy	-0.60	eV per formula unit
mass density	11.6	g/cm³

Record 6
# V2ZnIr9

V2ZnIr9 after structural relaxation (GGA-PBE, the Alexandria database).

Unit cell a=3.847 b=3.847 c=11.557 alpha=90.00 beta=90.00 gamma=90.00
Positions (direct):
V  0.000  0.000  0.672
V  0.000  0.000  0.328
Ir  0.500  0.000  0.827
Ir  0.500  0.500  0.336
Ir  0.500  0.500  0.664
Ir  0.500  0.000  0.500
Ir  0.500  0.000  0.173
Ir  0.000  0.500  0.500
Ir  0.500  0.500  0.000
Ir  0.000  0.500  0.173
Ir  0.000  0.500  0.827
Zn  0.000  0.000  0.000

Computed properties:
formation energy	-4.00	eV per formula unit
mass density	18.4	g/cm³

Record 7
# VZnIr2

VZnIr2 after structural relaxation (GGA-PBE, the Alexandria database).

Unit cell a=6.882 b=6.882 c=5.556 alpha=51.73 beta=51.73 gamma=90.00
Positions (direct):
Zn  0.000  0.000  0.000
Zn  0.750  0.250  0.500
Ir  0.375  0.411  0.750
Ir  0.589  0.125  0.250
Ir  0.875  0.839  0.750
Ir  0.161  0.625  0.250
V  0.500  0.500  0.000
V  0.250  0.750  0.500

Computed properties:
formation energy	0.66	eV per formula unit
mass density	13.1	g/cm³

Record 8
# V3ZnIr

V3ZnIr after structural relaxation (GGA-PBE, the Alexandria database).

Unit cell a=4.604 b=4.604 c=4.604 alpha=90.00 beta=90.00 gamma=90.00
Positions (direct):
Zn  0.500  0.500  0.500
V  0.000  0.000  0.500
V  0.000  0.500  0.000
V  0.500  0.000  0.000
Ir  0.000  0.000  0.000

Computed properties:
formation energy	4.82	eV per formula unit
energy above the most stable polymorph in this dataset	0.00	eV/f.u.
mass density	7.0	g/cm³